DFT (PBE-GGA) results for SmHoAg after structural relaxation.

Calculated values
energy above the lowest structure with this stoichiometry: 230 meV per atom
magnetic moment: 0.000 μB per atom
ΔE_f: 0.06 eV per atom
E_tot: -12.0 eV for the cell shown

Lattice parameters (Å, degrees): 5.065 5.065 5.065 60.00 60.00 60.00
Atoms (fractional coordinates):
Sm 0.000 0.000 0.000
Ho 0.500 0.500 0.500
Ag 0.750 0.750 0.750